[1]
VASP calculation (GGA-PBE) on a geometry-optimized Na3Er3PdO8 structure.

## Properties
* energy relative to the elements, uncorrected: -3411.1 kJ/mol of formula units
* total moment: 0.0 μB per cell

Cell lengths 6.7439, 6.7439, 6.7439 Å; angles 58.97, 58.97, 58.97 degrees
Positions (direct):
Na  0.0000  0.5000  0.5000
Na  0.5000  0.0000  0.5000
Na  0.5000  0.5000  0.0000
Er  0.0000  0.0000  0.5000
Er  0.0000  0.5000  0.0000
Er  0.5000  0.0000  0.0000
Pd  0.5000  0.5000  0.5000
O  0.2356  0.2356  0.2356
O  0.2578  0.7219  0.7219
O  0.2781  0.2781  0.7422
O  0.2781  0.7422  0.2781
O  0.7219  0.2578  0.7219
O  0.7219  0.7219  0.2578
O  0.7422  0.2781  0.2781
O  0.7644  0.7644  0.7644

***

[2]
VASP calculation (GGA-PBE) on a geometry-optimized NpScCo4 structure.

## Properties
* total energy: -48.85 eV per cell
* total moment: 0.2 μB per cell

Cell lengths 4.9254, 4.9254, 4.9254 Å; angles 60.00, 60.00, 60.00 degrees
Positions (direct):
Np  0.0000  0.0000  0.0000
Sc  0.7500  0.7500  0.7500
Co  0.3754  0.3754  0.3754
Co  0.3754  0.3754  0.8738
Co  0.3754  0.8738  0.3754
Co  0.8738  0.3754  0.3754

***

[3]
VASP calculation (GGA-PBE) on a geometry-optimized NaVSiPt2 structure.

## Properties
* energy relative to the elements, uncorrected: 463.8 kJ/mol of formula units
* total moment: 1.8 μB per cell

Cell lengths 4.6649, 4.6649, 4.9734 Å; angles 90.00, 90.00, 90.00 degrees
Positions (direct):
Na  0.0000  0.0000  0.0000
V  0.0000  0.0000  0.5000
Si  0.5000  0.5000  0.0000
Pt  0.0000  0.5000  0.5000
Pt  0.5000  0.0000  0.5000

***

[4]
VASP calculation (GGA-PBE) on a geometry-optimized Li2UPd6 structure.

## Properties
* total energy: -48.86 eV per cell
* total moment: 1.5 μB per cell

Cell lengths 4.3168, 5.9630, 5.9630 Å; angles 111.77, 90.00, 90.00 degrees
Positions (direct):
Li  0.0000  0.1171  0.8829
Li  0.0000  0.8829  0.1171
U  0.5000  0.6576  0.6576
Pd  0.0000  0.3488  0.3488
Pd  0.0000  0.4753  0.8318
Pd  0.0000  0.8318  0.4753
Pd  0.5000  0.0771  0.0771
Pd  0.5000  0.1531  0.5858
Pd  0.5000  0.5858  0.1531

***

[5]
VASP calculation (GGA-PBE) on a geometry-optimized SrAlFe2 structure.

## Properties
* total energy: -21.53 eV per cell
* total moment: 4.8 μB per cell

Cell lengths 3.1802, 3.1802, 7.3709 Å; angles 90.00, 90.00, 90.00 degrees
Positions (direct):
Sr  0.0000  0.0000  0.0000
Al  0.5000  0.5000  0.3429
Fe  0.0000  0.0000  0.5389
Fe  0.5000  0.5000  0.6814